Record 1
The following is a DFT calculation (PBE) of crystalline SiRu2Br at its relaxed geometry.

Geometry as CIF:
```
data_SiRu2Br
_chemical_formula_sum 'Si1 Ru2 Br1'
_cell_length_a 2.895
_cell_length_b 4.115
_cell_length_c 5.318
_cell_angle_alpha 90.00
_cell_angle_beta 90.00
_cell_angle_gamma 90.00
_symmetry_space_group_name_H-M 'P m m m'
_symmetry_Int_Tables_number 47
loop_
_symmetry_equiv_pos_as_xyz
'x,y,z'
'-x,-y,-z'
'-x,-y,z'
'x,y,-z'
'x,-y,-z'
'-x,y,z'
'-x,y,-z'
'x,-y,z'
loop_
_atom_site_label
_atom_site_fract_x
_atom_site_fract_y
_atom_site_fract_z
Si1 0.000 0.000 0.000
Ru1 0.000 0.500 0.500
Ru2 0.500 0.500 0.000
Br1 0.500 0.000 0.500
```

Raw formation energy   2.4 eV/f.u.
Electronic total energy   -5.8146 eV per atom


Record 2
The following is a DFT calculation (PBE) of crystalline AcAl3Au at its relaxed geometry.

Geometry as CIF:
```
data_AcAl3Au
_chemical_formula_sum 'Ac2 Al6 Au2'
_cell_length_a 4.472
_cell_length_b 4.472
_cell_length_c 11.051
_cell_angle_alpha 90.00
_cell_angle_beta 90.00
_cell_angle_gamma 90.00
_symmetry_space_group_name_H-M 'I 4 m m'
_symmetry_Int_Tables_number 107
_symmetry_space_group_name_Hall 'I 4 -2'
loop_
_atom_site_label
_atom_site_fract_x
_atom_site_fract_y
_atom_site_fract_z
Ac1 0.000 0.000 0.000
Al1 0.000 0.000 0.402
Al2 0.000 0.500 0.257
Au1 0.000 0.000 0.636
```

Formation enthalpy at 0 K   -59 kJ per mole of atoms
Electronic total energy   -4.3365 eV per atom


Record 3
The following is a DFT calculation (PBE) of crystalline Tb2Nd4Pb3N2 at its relaxed geometry.

Geometry as CIF:
```
data_Tb2Nd4Pb3N2
_chemical_formula_sum 'Tb4 Nd8 Pb6 N4'
_cell_length_a 4.884
_cell_length_b 4.884
_cell_length_c 25.863
_cell_angle_alpha 90.00
_cell_angle_beta 90.00
_cell_angle_gamma 90.00
_symmetry_space_group_name_H-M 'I 4/m m m'
_symmetry_Int_Tables_number 139
_symmetry_space_group_name_Hall '-I 4 2'
loop_
_atom_site_label
_atom_site_fract_x
_atom_site_fract_y
_atom_site_fract_z
Tb1 0.000 0.000 0.192
Nd1 0.000 0.500 0.086
Pb1 0.000 0.000 0.319
Pb2 0.000 0.000 0.500
N1 0.000 0.000 0.107
```

Raw formation energy   -9.1 eV/f.u.
Electronic total energy   -5.9315 eV per atom


Record 4
The following is a DFT calculation (PBE) of crystalline Pr2TiBePd6 at its relaxed geometry.

Geometry as CIF:
```
data_Pr2TiBePd6
_chemical_formula_sum 'Pr2 Ti1 Be1 Pd6'
_cell_length_a 5.914
_cell_length_b 5.930
_cell_length_c 7.145
_cell_angle_alpha 66.59
_cell_angle_beta 66.31
_cell_angle_gamma 60.39
_symmetry_space_group_name_H-M 'P -1'
_symmetry_Int_Tables_number 2
loop_
_symmetry_equiv_pos_as_xyz
'x,y,z'
'-x,-y,-z'
loop_
_atom_site_label
_atom_site_fract_x
_atom_site_fract_y
_atom_site_fract_z
Pr1 0.237 0.239 0.307
Ti1 0.500 0.500 0.500
Be1 0.000 0.000 0.000
Pd1 0.230 0.703 0.814
Pd2 0.235 0.232 0.780
Pd3 0.289 0.773 0.192
```

Formation enthalpy at 0 K   -52 kJ per mole of atoms
Electronic total energy   -5.7750 eV per atom


Record 5
The following is a DFT calculation (PBE) of crystalline Nd2Y3Tl at its relaxed geometry.

Geometry as CIF:
```
data_Nd2Y3Tl
_chemical_formula_sum 'Nd4 Y6 Tl2'
_cell_length_a 4.927
_cell_length_b 15.411
_cell_length_c 4.939
_cell_angle_alpha 90.00
_cell_angle_beta 90.00
_cell_angle_gamma 90.00
_symmetry_space_group_name_H-M 'C m m m'
_symmetry_Int_Tables_number 65
_symmetry_space_group_name_Hall '-C 2 2'
loop_
_atom_site_label
_atom_site_fract_x
_atom_site_fract_y
_atom_site_fract_z
Nd1 0.000 0.163 0.000
Y1 0.000 0.000 0.500
Y2 0.000 0.335 0.500
Tl1 0.000 0.500 0.000
```

Formation enthalpy at 0 K   -10 kJ per mole of atoms
Electronic total energy   -5.3182 eV per atom


Record 6
The following is a DFT calculation (PBE) of crystalline NbFeS at its relaxed geometry.

Geometry as CIF:
```
data_NbFeS
_chemical_formula_sum 'Nb1 Fe1 S1'
_cell_length_a 3.069
_cell_length_b 3.069
_cell_length_c 5.304
_cell_angle_alpha 90.00
_cell_angle_beta 90.00
_cell_angle_gamma 90.00
_symmetry_space_group_name_H-M 'P 4 m m'
_symmetry_Int_Tables_number 99
loop_
_symmetry_equiv_pos_as_xyz
'x,y,z'
'-y,x,z'
'-x,-y,z'
'y,-x,z'
'-x,y,z'
'y,x,z'
'x,-y,z'
'-y,-x,z'
loop_
_atom_site_label
_atom_site_fract_x
_atom_site_fract_y
_atom_site_fract_z
Nb1 0.000 0.000 0.000
Fe1 0.500 0.500 0.670
S1 0.500 0.500 0.245
```

Raw formation energy   -0.4 eV/f.u.
Electronic total energy   -7.6887 eV per atom


Record 7
The following is a DFT calculation (PBE) of crystalline NaTlFe2I8 at its relaxed geometry.

Geometry as CIF:
```
data_NaTlFe2I8
_chemical_formula_sum 'Na2 Tl2 Fe4 I16'
_cell_length_a 12.576
_cell_length_b 8.589
_cell_length_c 10.298
_cell_angle_alpha 90.00
_cell_angle_beta 91.93
_cell_angle_gamma 90.00
_symmetry_space_group_name_H-M 'C 1 2/m 1'
_symmetry_Int_Tables_number 12
loop_
_symmetry_equiv_pos_as_xyz
'x,y,z'
'-x,-y,-z'
'-x,y,-z'
'x,-y,z'
'x+1/2,y+1/2,z'
'-x+1/2,-y+1/2,-z'
'-x+1/2,y+1/2,-z'
'x+1/2,-y+1/2,z'
loop_
_atom_site_label
_atom_site_fract_x
_atom_site_fract_y
_atom_site_fract_z
Na1 0.000 0.000 0.000
Tl1 0.000 0.000 0.500
Fe1 0.124 0.500 0.766
I1 0.000 0.259 0.233
I2 0.223 0.500 0.556
I3 0.240 0.500 0.971
```

Raw formation energy   -5.1 eV/f.u.
Electronic total energy   -3.1780 eV per atom


Record 8
The following is a DFT calculation (PBE) of crystalline CaAl3Pt2 at its relaxed geometry.

Geometry as CIF:
```
data_CaAl3Pt2
_chemical_formula_sum 'Ca6 Al18 Pt12'
_cell_length_a 16.573
_cell_length_b 4.173
_cell_length_c 10.145
_cell_angle_alpha 90.00
_cell_angle_beta 107.73
_cell_angle_gamma 90.00
_symmetry_space_group_name_H-M 'C 1 2/m 1'
_symmetry_Int_Tables_number 12
loop_
_symmetry_equiv_pos_as_xyz
'x,y,z'
'-x,-y,-z'
'-x,y,-z'
'x,-y,z'
'x+1/2,y+1/2,z'
'-x+1/2,-y+1/2,-z'
'-x+1/2,y+1/2,-z'
'x+1/2,-y+1/2,z'
loop_
_atom_site_label
_atom_site_fract_x
_atom_site_fract_y
_atom_site_fract_z
Ca1 0.000 0.000 0.000
Ca2 0.160 0.000 0.707
Al1 0.000 0.500 0.500
Al2 0.041 0.000 0.349
Al3 0.125 0.500 0.203
Al4 0.177 0.500 0.967
Al5 0.214 0.000 0.396
Pt1 0.030 0.500 0.778
Pt2 0.138 0.500 0.454
Pt3 0.195 0.000 0.132
```

Formation enthalpy at 0 K   -90 kJ per mole of atoms
Electronic total energy   -5.1550 eV per atom


Record 9
The following is a DFT calculation (PBE) of crystalline Th2NpPa3P6 at its relaxed geometry.

Geometry as CIF:
```
data_Th2NpPa3P6
_chemical_formula_sum 'Th4 Np2 Pa6 P12'
_cell_length_a 17.566
_cell_length_b 4.034
_cell_length_c 8.045
_cell_angle_alpha 90.00
_cell_angle_beta 103.32
_cell_angle_gamma 90.00
_symmetry_space_group_name_H-M 'C 1 2/m 1'
_symmetry_Int_Tables_number 12
loop_
_symmetry_equiv_pos_as_xyz
'x,y,z'
'-x,-y,-z'
'-x,y,-z'
'x,-y,z'
'x+1/2,y+1/2,z'
'-x+1/2,-y+1/2,-z'
'-x+1/2,y+1/2,-z'
'x+1/2,-y+1/2,z'
loop_
_atom_site_label
_atom_site_fract_x
_atom_site_fract_y
_atom_site_fract_z
Th1 0.165 0.000 0.332
Np1 0.000 0.500 0.000
Pa1 0.000 0.500 0.500
Pa2 0.167 0.000 0.836
P1 0.004 0.000 0.751
P2 0.164 0.500 0.592
P3 0.167 0.500 0.075
```

Formation enthalpy at 0 K   -127 kJ per mole of atoms
Electronic total energy   -8.7135 eV per atom


Record 10
The following is a DFT calculation (PBE) of crystalline SmDy2Tm5Sc at its relaxed geometry.

Geometry as CIF:
```
data_SmDy2Tm5Sc
_chemical_formula_sum 'Sm4 Dy8 Tm20 Sc4'
_cell_length_a 5.503
_cell_length_b 19.542
_cell_length_c 10.301
_cell_angle_alpha 90.00
_cell_angle_beta 90.00
_cell_angle_gamma 90.00
_symmetry_space_group_name_H-M 'C m c 21'
_symmetry_Int_Tables_number 36
loop_
_symmetry_equiv_pos_as_xyz
'x,y,z'
'-x,-y,z+1/2'
'-x,y,z'
'x,-y,z+1/2'
'x+1/2,y+1/2,z'
'-x+1/2,-y+1/2,z+1/2'
'-x+1/2,y+1/2,z'
'x+1/2,-y+1/2,z+1/2'
loop_
_atom_site_label
_atom_site_fract_x
_atom_site_fract_y
_atom_site_fract_z
Sm1 0.000 0.087 0.000
Dy1 0.000 0.386 0.280
Dy2 0.000 0.389 0.861
Tm1 0.000 0.019 0.284
Tm2 0.000 0.122 0.566
Tm3 0.000 0.201 0.252
Tm4 0.000 0.223 0.866
Tm5 0.000 0.481 0.566
Sc1 0.000 0.303 0.560
```

Formation enthalpy at 0 K   17 kJ per mole of atoms
Electronic total energy   -4.5632 eV per atom